[1]
Density functional theory data (GGA-PBE) for LiEr2ReO6 after structural relaxation.

The value obtained for the total energy is -7.9071 eV per atom. As for the energy relative to the elements, uncorrected: -2.58 eV per atom.

The structure belongs to space group R3 (No. 146, hexagonal axes); the cell edges are 5.4869, 5.4869 and 14.7748 Å and the angles 90.00°, 90.00° and 120.00°. The inequivalent atoms are Li at (0.0000, 0.0000, 0.0000), Er at (0.0000, 0.0000, 0.2614), Er at (0.0000, 0.0000, 0.7675), Re at (0.0000, 0.0000, 0.4650), O at (0.0099, 0.3758, 0.2001) and O at (0.0581, 0.6848, 0.0441).


[2]
Density functional theory data (GGA-PBE) for CrTcHg2 after structural relaxation.

The offset from the most stable computed form comes out at 1.15 eV/f.u. Its formation energy is 2.46 eV/f.u. The value obtained for the total energy is -4.5332 eV per atom.

The structure belongs to space group P4/mmm (No. 123); the cell edges are 4.113, 4.113 and 4.230 Å and the angles 90.00°, 90.00° and 90.00°. The inequivalent atoms are Cr at (0.000, 0.000, 0.000), Tc at (0.500, 0.500, 0.000) and Hg at (0.000, 0.500, 0.500).


[3]
Density functional theory data (GGA-PBE) for LiRu2S4 after structural relaxation.

The value obtained for the total energy is -5.0346 eV per atom. As for the energy relative to the elements, uncorrected: 0.25 eV per atom.

The structure belongs to space group I4/mmm (No. 139); the cell edges are 4.417, 4.417 and 14.747 Å and the angles 90.00°, 90.00° and 90.00°. The inequivalent atoms are Li at (0.000, 0.000, 0.000), Ru at (0.000, 0.000, 0.415), S at (0.000, 0.000, 0.269) and S at (0.000, 0.500, 0.000).


[4]
Density functional theory data (GGA-PBE) for TmMgInS4 after structural relaxation.

The value obtained for the total energy is -4.9607 eV per atom. As for the energy relative to the elements, uncorrected: -1.34 eV per atom.

The structure belongs to space group Imma (No. 74); the cell edges are 7.717, 7.753 and 10.941 Å and the angles 90.00°, 90.00° and 90.00°. The inequivalent atoms are Tm at (0.000, 0.000, 0.000), Mg at (0.250, 0.250, 0.250), In at (0.000, 0.250, 0.633), S at (0.000, 0.022, 0.245) and S at (0.241, 0.250, 0.008).


[5]
Density functional theory data (GGA-PBE) for La2PrCd8 after structural relaxation.

Its formation energy is -3.25 eV/f.u. The value obtained for the total energy is -2.2914 eV per atom.

The structure belongs to space group C2/m (No. 12); the cell edges are 8.584, 16.189 and 5.425 Å and the angles 90.00°, 129.11° and 90.00°. The inequivalent atoms are La at (0.000, 0.192, 0.000), Pr at (0.000, 0.500, 0.500), Cd at (0.000, 0.300, 0.500), Cd at (0.002, 0.000, 0.753) and Cd at (0.225, 0.376, 0.226).


[6]
Density functional theory data (GGA-PBE) for HfBRh3 after structural relaxation.

The offset from the most stable computed form comes out at 12.60 eV/f.u. Its formation energy is 8.68 eV/f.u. The value obtained for the total energy is -6.0018 eV per atom.

The structure belongs to space group Pm-3m (No. 221); the cell edges are 4.752, 4.752 and 4.752 Å and the angles 90.00°, 90.00° and 90.00°. The inequivalent atoms are Hf at (0.000, 0.000, 0.000), B at (0.500, 0.500, 0.500) and Rh at (0.000, 0.000, 0.500).


[7]
Density functional theory data (GGA-PBE) for LiAcMg2Ge2 after structural relaxation.

Its formation energy is -0.81 eV/f.u. The value obtained for the total energy is -3.2100 eV per atom.

The structure belongs to space group I4/mmm (No. 139); the cell edges are 4.472, 4.472 and 15.076 Å and the angles 90.00°, 90.00° and 90.00°. The inequivalent atoms are Li at (0.000, 0.000, 0.000), Ac at (0.000, 0.000, 0.500), Mg at (0.000, 0.500, 0.250) and Ge at (0.000, 0.000, 0.147).


[8]
Density functional theory data (GGA-PBE) for NaMg2NpO6 after structural relaxation.

The value obtained for the total energy is -7.2046 eV per atom. As for the energy relative to the elements, uncorrected: -2.48 eV per atom.

The structure belongs to space group R3 (No. 146, hexagonal axes); the cell edges are 5.4341, 5.4341 and 14.7479 Å and the angles 90.00°, 90.00° and 120.00°. The inequivalent atoms are Na at (0.0000, 0.0000, 0.0000), Mg at (0.0000, 0.0000, 0.2071), Mg at (0.0000, 0.0000, 0.7244), Np at (0.0000, 0.0000, 0.5202), O at (0.0023, 0.3416, 0.7866) and O at (0.0727, 0.7094, 0.2744).


[9]
Density functional theory data (GGA-PBE) for RbSiAg3 after structural relaxation.

The offset from the most stable computed form comes out at 0.39 eV/f.u. The value obtained for the total energy is -2.8485 eV per atom. As for the energy relative to the elements, uncorrected: 0.14 eV per atom.

The structure belongs to space group C2/c (No. 15); the cell edges are 14.314, 9.781 and 6.727 Å and the angles 90.00°, 104.01° and 90.00°. The inequivalent atoms are Rb at (0.000, 0.010, 0.250), Rb at (0.000, 0.344, 0.250), Si at (0.090, 0.325, 0.806), Ag at (0.183, 0.483, 0.593), Ag at (0.188, 0.149, 0.067) and Ag at (0.196, 0.170, 0.618).


[10]
Density functional theory data (GGA-PBE) for PmUS after structural relaxation.

The value obtained for the total energy is -6.9247 eV per atom. As for the energy relative to the elements, uncorrected: -0.20 eV per atom.

The structure belongs to space group Immm (No. 71); the cell edges are 3.339, 6.589 and 15.674 Å and the angles 90.00°, 90.00° and 90.00°. The inequivalent atoms are Pm at (0.000, 0.250, 0.000), U at (0.000, 0.000, 0.236) and S at (0.000, 0.000, 0.401).


[11]
Density functional theory data (GGA-PBE) for Y2BeTc2 after structural relaxation.

The offset from the most stable computed form comes out at 2.61 eV/f.u. Its formation energy is 3.02 eV/f.u. The value obtained for the total energy is -6.8725 eV per atom.

The structure belongs to space group I4/mmm (No. 139); the cell edges are 5.494, 5.494 and 7.150 Å and the angles 90.00°, 90.00° and 90.00°. The inequivalent atoms are Y at (0.000, 0.500, 0.250), Be at (0.000, 0.000, 0.000) and Tc at (0.000, 0.000, 0.332).


[12]
Density functional theory data (GGA-PBE) for Tb2NdTm3S6 after structural relaxation.

The value obtained for the total energy is -6.3248 eV per atom. As for the energy relative to the elements, uncorrected: -1.97 eV per atom.

The structure belongs to space group C2/m (No. 12); the cell edges are 17.072, 3.884 and 7.884 Å and the angles 90.00°, 104.12° and 90.00°. The inequivalent atoms are Tb at (0.166, 0.000, 0.331), Nd at (0.000, 0.500, 0.000), Tm at (0.000, 0.500, 0.500), Tm at (0.165, 0.000, 0.834), S at (0.001, 0.000, 0.736), S at (0.165, 0.500, 0.588) and S at (0.172, 0.500, 0.080).